VASP calculation (PBE with a Hubbard U) on an optimized crystal structure of Sr3UFe2O9.

a b c (Å): 5.7505 8.0563 17.5039
angles (deg): 90.00 90.00 90.00
Space group Immm (No. 71)
One atom of each set of equivalent atoms:
1 Sr 0.0000 0.2202 0.0000
2 Sr 0.0000 0.2693 0.3517
3 U 0.0000 0.5000 0.1687
4 Fe 0.0000 0.0000 0.1624
5 Fe 0.0000 0.0000 0.5000
6 Fe 0.0000 0.5000 0.5000
7 O 0.0000 0.2381 0.1622
8 O 0.0000 0.2440 0.5000
9 O 0.2464 0.0000 0.4144
10 O 0.2461 0.5000 0.2530
11 O 0.2485 0.5000 0.4185

Size of the total moment (μB per formula unit): 1.01
E (eV per atom): -7.27